# Cs2CeI5 PBE-GGA relaxed
# DOS(E_F)	32.51	states/eV per cell
# spin magnetization	1.0	μB/f.u.
# E_tot	-3.4046	eV/atom
# volume	1570	Å³ per cell
# formation energy from raw total energies	-11.845	eV/f.u.
data_Cs2CeI5
_cell_length_a 15.438
_cell_length_b 10.322
_cell_length_c 9.853
_cell_angle_alpha 90.00
_cell_angle_beta 90.00
_cell_angle_gamma 90.00
_space_group_name_H-M_alt 'P n m a'
_space_group_IT_number 62
loop_
_space_group_symop_operation_xyz
'x,y,z'
'-x,-y,-z'
'-x+1/2,-y,z+1/2'
'x+1/2,y,-z+1/2'
'x+1/2,-y+1/2,-z+1/2'
'-x+1/2,y+1/2,z+1/2'
'-x,y+1/2,-z'
'x,-y+1/2,z'
loop_
_atom_site_label
_atom_site_fract_x
_atom_site_fract_y
_atom_site_fract_z
_atom_site_occupancy
Cs1 0.170 0.010 0.079 1
Ce1 0.005 0.250 0.571 1
I1 0.013 0.250 0.901 1
I2 0.062 0.547 0.665 1
I3 0.182 0.250 0.404 1
I4 0.196 0.750 0.359 1